Entry 1:
Density functional theory data (PBE-GGA) for a relaxed structure of Fe2AgP.

The structure in POSCAR format:
```
Fe2AgP
1.0
3.990 -1.465 0.000
3.990 1.465 0.000
-0.460 0.000 4.972
Fe Ag P
2 1 1
direct
0.000 0.000 0.000
0.727 0.727 0.197
0.470 0.470 0.497
0.273 0.273 0.867
```

Computed properties:
The spin magnetization is 1.142 μB per atom. The density of states at the Fermi level is 3.359 states/eV per cell. The raw total energy comes out at -6.126 eV/atom. The formation energy is 171 meV/atom. As for the space-group type: Cm.

=====

Entry 2:
Density functional theory data (PBE-GGA) for a relaxed structure of FeAgP2.

The structure in POSCAR format:
```
FeAgP2
1.0
2.786 0.000 0.000
0.000 2.786 0.000
0.000 0.000 7.414
Fe Ag P
1 1 2
direct
0.000 0.000 0.000
0.000 0.000 0.500
0.500 0.500 0.184
0.500 0.500 0.816
```

Computed properties:
The spin magnetization is 0.226 μB per atom. The density of states at the Fermi level is 1.132 states/eV per cell. The raw total energy comes out at -5.471 eV/atom. The formation energy is 62 meV/atom. The value obtained for the polymorph energy (0 for the lowest one) is 51.7 meV per atom. As for the space-group type: P4/mmm.

=====

Entry 3:
Density functional theory data (PBE-GGA) for a relaxed structure of FeAg2P.

The structure in POSCAR format:
```
FeAg2P
1.0
2.877 0.000 0.000
0.000 2.877 0.000
0.000 0.000 7.207
Fe Ag P
1 2 1
direct
0.000 0.000 0.000
0.000 0.000 0.420
0.500 0.500 0.717
0.500 0.500 0.129
```

Computed properties:
The spin magnetization is 0.000 μB per atom. The density of states at the Fermi level is 1.821 states/eV per cell. The raw total energy comes out at -4.848 eV/atom. The formation energy is 45 meV/atom. As for the space-group type: P4mm.

=====

Entry 4:
Density functional theory data (PBE-GGA) for a relaxed structure of FeAgP2.

The structure in POSCAR format:
```
FeAgP2
1.0
3.528 0.000 0.000
0.000 1.349 6.484
0.000 -1.349 6.484
Fe Ag P
1 1 2
direct
0.000 0.000 0.000
0.500 0.787 0.787
0.000 0.164 0.164
0.500 0.462 0.462
```

Computed properties:
The spin magnetization is 0.000 μB per atom. The density of states at the Fermi level is 1.931 states/eV per cell. The raw total energy comes out at -5.439 eV/atom. The formation energy is 94 meV/atom. The value obtained for the polymorph energy (0 for the lowest one) is 83.9 meV per atom. As for the space-group type: Amm2.

=====

Entry 5:
Density functional theory data (PBE-GGA) for a relaxed structure of FeAg2P.

The structure in POSCAR format:
```
FeAg2P
1.0
-1.896 1.896 4.418
1.896 -1.896 4.418
1.896 1.896 -4.418
Fe Ag P
1 2 1
direct
0.000 0.000 0.000
0.250 0.750 0.500
0.750 0.250 0.500
0.500 0.500 0.000
```

Computed properties:
The spin magnetization is 0.734 μB per atom. The density of states at the Fermi level is 3.970 states/eV per cell. The raw total energy comes out at -4.483 eV/atom. The formation energy is 411 meV/atom. As for the space-group type: I4/mmm.

=====

Entry 6:
Density functional theory data (PBE-GGA) for a relaxed structure of FeAg2P.

The structure in POSCAR format:
```
FeAg2P
1.0
1.457 0.841 8.473
-1.457 0.841 8.473
0.000 -1.683 8.473
Fe Ag P
1 2 1
direct
0.000 0.000 0.000
0.517 0.517 0.517
0.754 0.754 0.754
0.277 0.277 0.277
```

Computed properties:
The spin magnetization is 0.410 μB per atom. The density of states at the Fermi level is 1.563 states/eV per cell. The raw total energy comes out at -4.791 eV/atom. The formation energy is 103 meV/atom. As for the space-group type: R3m.

=====

Entry 7:
Density functional theory data (PBE-GGA) for a relaxed structure of FeAg2P.

The structure in POSCAR format:
```
FeAg2P
1.0
2.845 0.000 0.000
0.000 1.438 7.405
0.000 -1.438 7.405
Fe Ag P
1 2 1
direct
0.000 0.000 0.000
0.000 0.283 0.283
0.500 0.638 0.638
0.500 0.435 0.435
```

Computed properties:
The spin magnetization is 0.000 μB per atom. The density of states at the Fermi level is 2.049 states/eV per cell. The raw total energy comes out at -4.866 eV/atom. The formation energy is 28 meV/atom. As for the space-group type: Amm2.

=====

Entry 8:
Density functional theory data (PBE-GGA) for a relaxed structure of FeAgP2.

The structure in POSCAR format:
```
FeAgP2
1.0
-1.357 1.773 6.118
1.357 -1.773 6.118
1.357 1.773 -6.118
Fe Ag P
1 1 2
direct
0.000 0.000 0.000
0.782 0.282 0.500
0.146 0.646 0.500
0.449 0.449 0.000
```

Computed properties:
The spin magnetization is 0.102 μB per atom. The density of states at the Fermi level is 2.259 states/eV per cell. The raw total energy comes out at -5.486 eV/atom. The formation energy is 48 meV/atom. The value obtained for the polymorph energy (0 for the lowest one) is 37.4 meV per atom. As for the space-group type: Imm2.